{"formula": "Er5Hg2Ge2", "functional": "PBE-GGA", "state": "relaxed", "ef_ev_per_atom": -0.64, "spacegroup": "No. 64", "lattice_angstrom": [[-3.6961, 0.0929, 6.6316], [6.6225, 0.5599, 3.6831], [-2.3051, 7.8463, 2.9518]], "species": ["Ge", "Ge", "Hg", "Er", "Ge", "Er", "Hg", "Er", "Hg", "Er", "Hg", "Er", "Er", "Er", "Er", "Er", "Ge", "Er"], "fractional_positions": [[0.6304, 0.1336, 0.0000], [0.1304, 0.3664, 0.0000], [0.2136, 0.0000, 0.5727], [0.8050, 0.8299, 0.7423], [0.8696, 0.6336, 0.0000], [0.5472, 0.8299, 0.2577], [0.2864, 0.5000, 0.4273], [0.4528, 0.1701, 0.7423], [0.7864, 0.0000, 0.4273], [0.3050, 0.6701, 0.7423], [0.7136, 0.5000, 0.5727], [0.9528, 0.3299, 0.7423], [0.1950, 0.1701, 0.2577], [0.0472, 0.6701, 0.2577], [0.0000, 0.0000, 0.0000], [0.5000, 0.5000, 0.0000], [0.3696, 0.8664, 0.0000], [0.6950, 0.3299, 0.2577]]}

---

{"formula": "CsAgGeP2", "functional": "PBE-GGA", "state": "relaxed", "ef_ev_per_atom": 0.44, "spacegroup": "No. 123", "lattice_angstrom": [[-2.8249, 4.0451, -1.0102], [-0.2544, -1.4119, -4.9421], [-4.1619, -2.6630, 0.9750]], "species": ["P", "Ag", "P", "Cs", "Ge"], "fractional_positions": [[0.0000, 0.0000, 0.5000], [0.0000, 0.5000, 0.0000], [0.5000, 0.0000, 0.0000], [0.5000, 0.5000, 0.5000], [0.0000, 0.0000, 0.0000]]}

---

{"formula": "AcNd2S4", "functional": "PBE-GGA", "state": "relaxed", "spacegroup": "No. 63", "lattice_angstrom": [[4.0775, 0.0000, 0.0000], [-2.0388, 6.7591, 0.0000], [0.0000, 0.0000, 13.6683]], "species": ["Ac", "Nd", "S", "S", "Nd", "Nd", "S", "S", "S", "S", "Nd", "S", "S", "Ac"], "fractional_positions": [[0.3782, 0.7563, 0.2500], [0.8712, 0.7424, 0.5658], [0.7726, 0.5451, 0.3798], [0.0374, 0.0748, 0.2500], [0.1288, 0.2576, 0.4342], [0.1288, 0.2576, 0.0658], [0.2274, 0.4549, 0.8798], [0.7726, 0.5451, 0.1202], [0.5000, 0.0000, 0.0000], [0.5000, 0.0000, 0.5000], [0.8712, 0.7424, 0.9342], [0.9626, 0.9252, 0.7500], [0.2274, 0.4549, 0.6202], [0.6218, 0.2437, 0.7500]]}

---

{"formula": "NdScRh", "functional": "PBE-GGA", "state": "relaxed", "ef_ev_per_atom": -0.52, "spacegroup": "No. 14", "polymorph_energy_mev_per_atom": 94, "lattice_angstrom": [[6.7879, 0.0000, 0.0000], [0.0000, 5.9530, -2.5225], [0.0000, 0.7258, 7.0670]], "species": ["Nd", "Sc", "Nd", "Nd", "Sc", "Rh", "Sc", "Rh", "Rh", "Rh", "Sc", "Nd"], "fractional_positions": [[0.6572, 0.7930, 0.0748], [0.3528, 0.1964, 0.4144], [0.1572, 0.7070, 0.4252], [0.8428, 0.2930, 0.5748], [0.8528, 0.3036, 0.0856], [0.5451, 0.4788, 0.2838], [0.6472, 0.8036, 0.5856], [0.0451, 0.0212, 0.2162], [0.4549, 0.5212, 0.7162], [0.9549, 0.9788, 0.7838], [0.1472, 0.6964, 0.9144], [0.3428, 0.2070, 0.9252]]}

---

{"formula": "NaGeBN2", "functional": "PBE-GGA", "state": "relaxed", "spacegroup": "No. 123", "lattice_angstrom": [[3.5777, 0.0000, 0.0000], [0.0000, 4.4345, 0.0000], [0.0000, 0.0000, 3.5777]], "species": ["B", "N", "Na", "Ge", "N"], "fractional_positions": [[0.0000, 0.0000, 0.0000], [0.0000, 0.0000, 0.5000], [0.5000, 0.5000, 0.5000], [0.0000, 0.5000, 0.0000], [0.5000, 0.0000, 0.0000]]}

---

{"formula": "Ba8Pd3PtI4", "functional": "PBE-GGA", "state": "relaxed", "spacegroup": "No. 166", "lattice_angstrom": [[-1.5463, 5.7583, -7.1371], [-1.2044, -8.0722, -6.2518], [-5.4558, 0.3524, 7.5253]], "species": ["Ba", "Ba", "I", "Ba", "I", "Ba", "Ba", "Pt", "Pd", "Pd", "Pd", "Ba", "Ba", "I", "Ba", "I"], "fractional_positions": [[0.2324, 0.7021, 0.9700], [0.2655, 0.2967, 0.5309], [0.0000, 0.0000, 0.0000], [0.7676, 0.2979, 0.0300], [0.5000, 0.0000, 0.5000], [0.7676, 0.2980, 0.5351], [0.2625, 0.2979, 0.0300], [0.0000, 0.5000, 0.0000], [0.5000, 0.5000, 0.0000], [0.5000, 0.5000, 0.5000], [0.0000, 0.5000, 0.5000], [0.2324, 0.7020, 0.4649], [0.7375, 0.7021, 0.9700], [0.0000, 0.0000, 0.5000], [0.7345, 0.7033, 0.4691], [0.5000, 0.0000, 0.0000]]}

---

{"formula": "Tb2Pm7Pr3", "functional": "PBE-GGA", "state": "relaxed", "ef_ev_per_atom": 0.07, "spacegroup": "No. 10", "polymorph_energy_mev_per_atom": 0, "lattice_angstrom": [[3.6163, 0.0000, 0.0000], [0.0000, 6.5154, -0.0544], [0.0000, 0.1207, 17.7068]], "species": ["Pm", "Pm", "Pm", "Pr", "Pm", "Pr", "Tb", "Pm", "Pm", "Tb", "Pr", "Pm"], "fractional_positions": [[0.0000, 0.0000, 0.0000], [0.5000, 0.7557, 0.5014], [0.5000, 0.8252, 0.8328], [0.5000, 0.5000, 0.0000], [0.5000, 0.2443, 0.4986], [0.0000, 0.9992, 0.6620], [0.5000, 0.4937, 0.6709], [0.0000, 0.3271, 0.8329], [0.0000, 0.6729, 0.1671], [0.5000, 0.5063, 0.3291], [0.0000, 0.0008, 0.3380], [0.5000, 0.1748, 0.1672]]}

---

{"formula": "CrGa2H", "functional": "PBE-GGA", "state": "relaxed", "spacegroup": "No. 225", "polymorph_energy_mev_per_atom": 239, "lattice_angstrom": [[3.5980, 0.4177, 2.2806], [0.5029, -2.2137, 3.6288], [2.8129, -3.2219, 0.1692]], "species": ["Cr", "Ga", "Ga", "H"], "fractional_positions": [[0.5000, 0.5000, 0.5000], [0.2500, 0.2500, 0.2500], [0.7500, 0.7500, 0.7500], [0.0000, 0.0000, 0.0000]]}

---

{"formula": "CrOsSe2", "functional": "PBE-GGA", "state": "relaxed", "spacegroup": "No. 25", "polymorph_energy_mev_per_atom": 244, "lattice_angstrom": [[-1.4978, 2.0306, 1.7320], [-2.6842, 0.2010, -2.5569], [-3.3369, -5.1068, 3.1015]], "species": ["Os", "Se", "Cr", "Se"], "fractional_positions": [[0.5000, 0.5000, 0.7137], [0.0000, 0.0000, 0.8851], [0.0000, 0.0000, 0.5381], [0.5000, 0.5000, 0.3631]]}

---

{"formula": "YRu5", "functional": "PBE-GGA", "state": "relaxed", "ef_ev_per_atom": 0.21, "spacegroup": "No. 216", "lattice_angstrom": [[2.4495, -4.3924, -1.2336], [2.2050, -2.8642, 3.7081], [-2.0572, -4.5678, 1.3109]], "species": ["Ru", "Ru", "Y", "Ru", "Ru", "Ru"], "fractional_positions": [[0.1263, 0.6246, 0.6246], [0.6246, 0.1263, 0.6246], [0.0000, 0.0000, 0.0000], [0.6246, 0.6246, 0.1263], [0.6246, 0.6246, 0.6246], [0.2500, 0.2500, 0.2500]]}

---

{"formula": "ErGaRuPt", "functional": "PBE-GGA", "state": "relaxed", "ef_ev_per_atom": -0.66, "spacegroup": "No. 216", "lattice_angstrom": [[4.5781, 0.0000, 0.0000], [2.2890, 3.9647, 0.0000], [2.2890, 1.3216, 3.7380]], "species": ["Ru", "Er", "Ga", "Pt"], "fractional_positions": [[0.7500, 0.7500, 0.7500], [0.5000, 0.5000, 0.5000], [0.0000, 0.0000, 0.0000], [0.2500, 0.2500, 0.2500]]}

---

{"formula": "LiZnTe2", "functional": "PBE-GGA", "state": "relaxed", "spacegroup": "No. 71", "lattice_angstrom": [[-1.8969, 1.0019, -5.1124], [4.7367, -0.8010, -2.7679], [-3.4615, -2.9926, 3.1307]], "species": ["Te", "Te", "Li", "Zn"], "fractional_positions": [[0.9721, 0.9721, 0.0000], [0.5279, 0.5279, 0.0000], [0.2500, 0.7500, 0.5000], [0.7500, 0.2500, 0.5000]]}

---

{"formula": "BaAlW3", "functional": "PBE-GGA", "state": "relaxed", "ef_ev_per_atom": 3.79, "spacegroup": "No. 221", "polymorph_energy_mev_per_atom": 1815, "lattice_angstrom": [[5.0052, 0.0000, 0.0000], [0.0000, 5.0052, 0.0000], [0.0000, 0.0000, 5.0052]], "species": ["W", "W", "Al", "Ba", "W"], "fractional_positions": [[0.0000, 0.5000, 0.0000], [0.0000, 0.0000, 0.5000], [0.5000, 0.5000, 0.5000], [0.0000, 0.0000, 0.0000], [0.5000, 0.0000, 0.0000]]}

---

{"formula": "NdMg2Zr", "functional": "PBE-GGA", "state": "relaxed", "ef_ev_per_atom": 0.05, "spacegroup": "No. 225", "polymorph_energy_mev_per_atom": 27, "lattice_angstrom": [[5.2246, 0.0000, 0.0000], [2.6123, 4.5247, 0.0000], [2.6123, 1.5082, 4.2659]], "species": ["Nd", "Mg", "Mg", "Zr"], "fractional_positions": [[0.0000, 0.0000, 0.0000], [0.7500, 0.7500, 0.7500], [0.2500, 0.2500, 0.2500], [0.5000, 0.5000, 0.5000]]}

---

{"formula": "OsPd3Rh", "functional": "PBE-GGA", "state": "relaxed", "ef_ev_per_atom": 1.60, "spacegroup": "No. 221", "polymorph_energy_mev_per_atom": 0, "lattice_angstrom": [[4.7328, 0.0000, 0.0000], [0.0000, 4.7328, 0.0000], [0.0000, 0.0000, 4.7328]], "species": ["Rh", "Pd", "Os", "Pd", "Pd"], "fractional_positions": [[0.5000, 0.5000, 0.5000], [0.0000, 0.5000, 0.0000], [0.0000, 0.0000, 0.0000], [0.0000, 0.0000, 0.5000], [0.5000, 0.0000, 0.0000]]}

---

{"formula": "NdY3Cd4", "functional": "PBE-GGA", "state": "relaxed", "ef_ev_per_atom": -0.34, "spacegroup": "No. 123", "lattice_angstrom": [[5.3176, 0.0000, 0.0000], [0.0000, 7.6337, 0.0000], [0.0000, 0.0000, 10.6375]], "species": ["Y", "Y", "Cd", "Y", "Cd", "Cd", "Y", "Y", "Cd", "Cd", "Cd", "Y", "Nd", "Cd", "Nd", "Cd"], "fractional_positions": [[0.4996, 0.5000, 0.2500], [0.5004, 0.0000, 0.7500], [0.5000, 0.2426, 0.5000], [0.4996, 0.0000, 0.2500], [0.5000, 0.7574, 0.5000], [0.0005, 0.2426, 0.7500], [0.0000, 0.0000, 0.5000], [0.0000, 0.0000, 0.0000], [0.9995, 0.2426, 0.2500], [0.5000, 0.2426, 0.0000], [0.5000, 0.7574, 0.0000], [0.5004, 0.5000, 0.7500], [0.0000, 0.5000, 0.5000], [0.0005, 0.7574, 0.7500], [0.0000, 0.5000, 0.0000], [0.9995, 0.7574, 0.2500]]}

---

{"formula": "GdGe5", "functional": "PBE-GGA", "state": "relaxed", "ef_ev_per_atom": -0.11, "spacegroup": "No. 65", "lattice_angstrom": [[-1.9996, 0.8123, 3.0346], [-3.9936, -1.6726, -2.1838], [3.2291, -5.3171, 3.5512]], "species": ["Ge", "Ge", "Ge", "Gd", "Ge", "Ge"], "fractional_positions": [[0.5000, 0.8102, 0.6204], [0.5000, 0.1898, 0.3796], [0.0000, 0.6553, 0.3106], [0.0000, 0.0000, 0.0000], [0.0000, 0.3447, 0.6894], [0.5000, 0.5000, 0.0000]]}

---

{"formula": "SrHf2B", "functional": "PBE-GGA", "state": "relaxed", "ef_ev_per_atom": 0.68, "spacegroup": "No. 122", "lattice_angstrom": [[-2.8801, -5.2519, 3.6841], [6.1296, -1.0613, 3.2790], [0.2872, 0.0613, 7.0233]], "species": ["B", "Hf", "Sr", "Sr", "B", "Hf", "Hf", "Hf"], "fractional_positions": [[0.2500, 0.7500, 0.5000], [0.3761, 0.6250, 0.2500], [0.0000, 0.0000, 0.0000], [0.7500, 0.2500, 0.5000], [0.5000, 0.5000, 0.0000], [0.3739, 0.1250, 0.2500], [0.3750, 0.6261, 0.7500], [0.8750, 0.6239, 0.7500]]}

---

{"formula": "Rb3Bi4Au4", "functional": "PBE-GGA", "state": "relaxed", "ef_ev_per_atom": -0.25, "spacegroup": "No. 71", "lattice_angstrom": [[-0.5863, 4.4891, -2.1094], [-2.4335, -2.2963, -4.2105], [-10.8560, 0.2914, 9.5501]], "species": ["Au", "Au", "Au", "Rb", "Bi", "Bi", "Rb", "Bi", "Rb", "Au", "Bi"], "fractional_positions": [[0.8024, 0.3024, 0.6049], [0.1976, 0.6976, 0.3951], [0.5504, 0.5504, 0.1007], [0.0000, 0.0000, 0.0000], [0.2491, 0.2491, 0.4982], [0.7509, 0.7509, 0.5018], [0.3584, 0.8584, 0.7169], [0.9043, 0.4043, 0.8085], [0.6416, 0.1416, 0.2831], [0.4496, 0.4496, 0.8993], [0.0957, 0.5957, 0.1915]]}

---

{"formula": "K4MnAg", "functional": "PBE-GGA", "state": "relaxed", "ef_ev_per_atom": 0.73, "spacegroup": "No. 216", "lattice_angstrom": [[2.3727, -6.1083, 3.4867], [2.2989, 0.4050, 7.0462], [-4.0889, -3.0065, 5.4166]], "species": ["K", "K", "Ag", "Mn", "K", "K"], "fractional_positions": [[0.3747, 0.3747, 0.8759], [0.3747, 0.3747, 0.3747], [0.0000, 0.0000, 0.0000], [0.7500, 0.7500, 0.7500], [0.8759, 0.3747, 0.3747], [0.3747, 0.8759, 0.3747]]}

---

no.,DFT total energy (eV for the cell shown),spin magnetization (μB/atom)
1,-76.839,0.00
2,-16.964,0.00
3,-89.503,0.00
4,-80.063,0.00
5,-22.196,0.00
6,-59.705,0.00
7,-55.964,0.00
8,-16.617,0.89
9,-27.130,0.38
10,-51.556,0.00
11,-25.563,0.00
12,-10.460,0.00
13,-25.570,0.00
14,-16.291,0.00
15,-26.165,0.00
16,-61.096,0.07
17,-37.851,1.18
18,-51.076,0.00
19,-34.236,0.00
20,-12.049,0.78